Material: Rb3CrF7
Method: DFT, PBE+U
State: relaxed

* SG: Cm (8)
* DFT total energy: -52.16 eV per cell
* calculated volume: 18.1 Å³ per atom
* N(E_F): 0.00 states/eV/atom
* energy relative to the lowest polymorph listed for this composition: 78 meV per atom

abc: 6.5577 6.5577 6.3650
angles: 118.57 118.57 91.38
Closest atoms and distances in Å follow each position.
Element x y z (fractional)
Rb 0.0000 0.0000 0.0000  7 F 2.77-3.04
Rb 0.2894 0.7712 0.5118  6 F 2.71-2.99
Rb 0.7712 0.2894 0.5118  6 F 2.71-2.99
Cr 0.5149 0.5149 0.9888  7 F 1.93-1.97
F 0.2466 0.6460 0.9776  1 Cr 1.96
F 0.2655 0.2655 0.9100  1 Cr 1.97
F 0.3506 0.3506 0.5779  1 Cr 1.93
F 0.5883 0.8301 0.0352  1 Cr 1.96
F 0.6460 0.2466 0.9776  1 Cr 1.96
F 0.6785 0.6785 0.3995  1 Cr 1.93
F 0.8301 0.5883 0.0352  1 Cr 1.96